# 1
DFT (PBE-GGA) results for a relaxed TbSeF crystal.

The calculation puts the magnetic moment at 0.00 Bohr magnetons per cell. For the formation energy (no corrections), the calculation gives -7.766 eV per formula unit.

The structure belongs to space group F-43m (No. 216); the cell edges are 6.419, 6.419 and 6.419 Å and the angles 90.00°, 90.00° and 90.00°. The distinct sites, in fractional coordinates, are Tb at (0.000, 0.000, 0.000), Se at (0.250, 0.250, 0.750) and F at (0.250, 0.250, 0.250).

---

# 2
DFT (PBE-GGA) results for a relaxed Ac2PrSm5Y crystal.

The calculation puts the magnetic moment at 0.00 Bohr magnetons per cell. Its energy relative to the elements is 140 meV per atom.

The structure belongs to space group Cmc2_1 (No. 36); the cell edges are 5.858, 20.469 and 11.028 Å and the angles 90.00°, 90.00° and 90.00°. The distinct sites, in fractional coordinates, are Ac at (0.000, 0.114, 0.000), Ac at (0.000, 0.117, 0.590), Pr at (0.000, 0.413, 0.733), Sm at (0.000, 0.019, 0.293), Sm at (0.000, 0.283, 0.581), Sm at (0.000, 0.297, 0.976), Sm at (0.000, 0.390, 0.290), Sm at (0.000, 0.482, 0.010) and Y at (0.000, 0.207, 0.280).

---

# 3
DFT (PBE-GGA) results for a relaxed Th5Si4S crystal.

The calculation puts the magnetic moment at 0.00 Bohr magnetons per cell. For the formation energy (no corrections), the calculation gives -9.059 eV per formula unit.

The structure belongs to space group I4/m (No. 87); the cell edges are 9.469, 9.469 and 5.971 Å and the angles 90.00°, 90.00° and 90.00°. The distinct sites, in fractional coordinates, are Th at (0.000, 0.000, 0.000), Th at (0.100, 0.301, 0.500), Si at (0.100, 0.298, 0.000) and S at (0.000, 0.000, 0.500).

---

# 4
DFT (PBE-GGA) results for a relaxed Nd5Cu4Ag crystal.

The calculation puts the magnetic moment at 0.00 Bohr magnetons per cell. Its energy relative to the elements is -162 meV per atom.

The structure belongs to space group P4/mmm (No. 123); the cell edges are 3.602, 3.602 and 18.381 Å and the angles 90.00°, 90.00° and 90.00°. The distinct sites, in fractional coordinates, are Nd at (0.000, 0.000, 0.000), Nd at (0.000, 0.000, 0.196), Nd at (0.000, 0.000, 0.391), Cu at (0.500, 0.500, 0.098), Cu at (0.500, 0.500, 0.294) and Ag at (0.500, 0.500, 0.500).

---

# 5
DFT (PBE-GGA) results for a relaxed SrLi2CuSn crystal.

The calculation puts the magnetic moment at 0.00 Bohr magnetons per cell. Its energy relative to the elements is -174 meV per atom.

The structure belongs to space group P4/mmm (No. 123); the cell edges are 4.987, 4.987 and 4.934 Å and the angles 90.00°, 90.00° and 90.00°. The distinct sites, in fractional coordinates, are Sr at (0.000, 0.000, 0.000), Li at (0.000, 0.500, 0.500), Cu at (0.500, 0.500, 0.500) and Sn at (0.500, 0.500, 0.000).

---

# 6
DFT (PBE-GGA) results for a relaxed CuI2F crystal.

The value obtained for the offset from the most stable computed form is 512 meV per atom. The calculation puts the magnetic moment at 0.00 Bohr magnetons per cell. For the formation energy (no corrections), the calculation gives -0.018 eV per formula unit.

The structure belongs to space group Fm-3m (No. 225); the cell edges are 6.867, 6.867 and 6.867 Å and the angles 90.00°, 90.00° and 90.00°. The distinct sites, in fractional coordinates, are Cu at (0.000, 0.000, 0.000), I at (0.250, 0.250, 0.250) and F at (0.000, 0.000, 0.500).

---

# 7
DFT (PBE-GGA) results for a relaxed Ca2SiSb crystal.

The value obtained for the offset from the most stable computed form is 258 meV per atom. The calculation puts the magnetic moment at 0.00 Bohr magnetons per cell. For the formation energy (no corrections), the calculation gives -1.002 eV per formula unit.

The structure belongs to space group I-42d (No. 122); the cell edges are 8.265, 8.265 and 6.540 Å and the angles 90.00°, 90.00° and 90.00°. The distinct sites, in fractional coordinates, are Ca at (0.232, 0.250, 0.125), Si at (0.000, 0.000, 0.000) and Sb at (0.000, 0.000, 0.500).

---

# 8
DFT (PBE-GGA) results for a relaxed Rb2PdI6O crystal.

The calculation puts the magnetic moment at 1.61 Bohr magnetons per cell. For the formation energy (no corrections), the calculation gives -5.597 eV per formula unit.

The structure belongs to space group I4/mmm (No. 139); the cell edges are 8.638, 8.638 and 10.097 Å and the angles 90.00°, 90.00° and 90.00°. The distinct sites, in fractional coordinates, are Rb at (0.000, 0.500, 0.250), Pd at (0.000, 0.000, 0.000), I at (0.000, 0.000, 0.288), I at (0.220, 0.220, 0.000) and O at (0.000, 0.000, 0.500).

---

# 9
DFT (PBE-GGA) results for a relaxed BaYTc crystal.

The value obtained for the offset from the most stable computed form is 0 meV per atom. The calculation puts the magnetic moment at 0.01 Bohr magnetons per cell. Its energy relative to the elements is 458 meV per atom.

The structure belongs to space group I4mm (No. 107); the cell edges are 3.608, 3.608 and 13.868 Å and the angles 90.00°, 90.00° and 90.00°. The distinct sites, in fractional coordinates, are Ba at (0.000, 0.000, 0.000), Y at (0.000, 0.000, 0.257) and Tc at (0.000, 0.000, 0.655).

---

# 10
DFT (PBE-GGA) results for a relaxed NaDy2Sn9 crystal.

The calculation puts the magnetic moment at 0.00 Bohr magnetons per cell. Its energy relative to the elements is -327 meV per atom.

The structure belongs to space group P4/mmm (No. 123); the cell edges are 4.691, 4.691 and 14.335 Å and the angles 90.00°, 90.00° and 90.00°. The distinct sites, in fractional coordinates, are Na at (0.000, 0.000, 0.000), Dy at (0.000, 0.000, 0.338), Sn at (0.000, 0.500, 0.167), Sn at (0.000, 0.500, 0.500), Sn at (0.500, 0.500, 0.000) and Sn at (0.500, 0.500, 0.332).

---

# 11
DFT (PBE-GGA) results for a relaxed TmSc3Cd4 crystal.

The calculation puts the magnetic moment at 0.00 Bohr magnetons per cell. Its energy relative to the elements is -292 meV per atom.

The structure belongs to space group P4/mmm (No. 123); the cell edges are 5.038, 5.038 and 7.222 Å and the angles 90.00°, 90.00° and 90.00°. The distinct sites, in fractional coordinates, are Tm at (0.000, 0.000, 0.000), Sc at (0.000, 0.000, 0.500), Sc at (0.500, 0.500, 0.000), Sc at (0.500, 0.500, 0.500) and Cd at (0.000, 0.500, 0.259).

---

# 12
DFT (PBE-GGA) results for a relaxed Pr12Cu6Ru crystal.

The calculation puts the magnetic moment at 0.00 Bohr magnetons per cell. Its energy relative to the elements is 46 meV per atom.

The structure belongs to space group R-3 (No. 148, hexagonal axes); the cell edges are 12.6682, 12.6682 and 12.4904 Å and the angles 90.00°, 90.00° and 120.00°. The distinct sites, in fractional coordinates, are Pr at (0.0263, 0.2015, 0.3915), Pr at (0.0417, 0.1978, 0.8763), Cu at (0.0459, 0.2732, 0.6445) and Ru at (0.0000, 0.0000, 0.0000).

---

| no. | D(E_F) (states/eV per cell) |
| --- | --- |
| 1 | 0.000 |
| 2 | 50.971 |
| 3 | 10.629 |
| 4 | 8.110 |
| 5 | 2.856 |
| 6 | 16.571 |
| 7 | 11.939 |
| 8 | 15.303 |
| 9 | 9.443 |
| 10 | 5.148 |
| 11 | 7.424 |
| 12 | 79.699 |